(1)
8
Lattice="-2.582 2.582 4.969 2.582 -2.582 4.969 2.582 2.582 -4.969" Properties=species:S:1:pos:R:3 comment="Ho4AsO3, relaxed, DFT PBE" magmom_total_mub_per_fu=0.0 vol_a3_per_fu=132.51 energy_ev_per_atom=-6.963 pbc="T T T"
Ho 2.582 0.000 0.000
Ho 0.000 0.000 2.301
Ho 0.000 2.582 0.000
Ho 0.000 0.000 7.638
As 0.000 0.000 4.969
O 0.000 0.000 0.000
O 2.582 0.000 2.485
O 0.000 2.582 2.485

=====

(2)
9
Lattice="0.000 3.749 3.749 3.749 0.000 3.749 3.749 3.749 0.000" Properties=species:S:1:pos:R:3 comment="Li2ReF6, relaxed, DFT PBE" magmom_total_mub_per_fu=3.0 vol_a3_per_fu=105.36 e_above_lowest_polymorph_mev_per_atom=331 pbc="T T T"
Li 1.874 1.874 1.874
Li 5.623 5.623 5.623
Re 0.000 0.000 0.000
F 3.749 3.749 1.946
F 3.749 1.946 3.749
F 5.552 3.749 3.749
F 1.946 3.749 3.749
F 3.749 5.552 3.749
F 3.749 3.749 5.552

=====

(3)
5
Lattice="3.574 0.000 0.000 0.253 6.284 0.000 0.054 3.066 5.495" Properties=species:S:1:pos:R:3 comment="HoBiAu3, relaxed, DFT PBE" magmom_total_mub_per_fu=0.0 vol_a3_per_fu=123.41 energy_ev_per_atom=-3.981 pbc="T T T"
Ho 0.000 0.000 0.000
Bi 3.747 6.256 3.661
Au 1.781 2.352 3.240
Au 1.852 2.300 0.412
Au 2.021 4.760 1.782

=====

(4)
4
Lattice="0.000 3.744 3.744 3.744 0.000 3.744 3.744 3.744 0.000" Properties=species:S:1:pos:R:3 comment="ZrBiSb2, relaxed, DFT PBE" magmom_total_mub_per_fu=0.1 vol_a3_per_fu=104.98 energy_ev_per_atom=-5.052 pbc="T T T"
Zr 0.000 0.000 0.000
Bi 5.616 5.616 5.616
Sb 1.872 1.872 1.872
Sb 3.744 3.744 3.744

=====

(5)
5
Lattice="3.874 0.000 0.000 0.000 3.874 0.000 0.000 0.000 4.141" Properties=species:S:1:pos:R:3 comment="CdPdO3, relaxed, DFT PBE" vol_a3_per_fu=62.15 energy_ev_per_atom=-4.479 pbc="T T T"
Cd 0.000 0.000 0.000
Pd 1.937 1.937 2.375
O 0.000 1.937 2.790
O 1.937 0.000 2.790
O 1.937 1.937 0.438

=====

(6)
12
Lattice="-2.134 2.134 10.872 2.134 -2.134 10.872 2.134 2.134 -10.872" Properties=species:S:1:pos:R:3 comment="Ac3Np2N7, relaxed, DFT PBE" magmom_total_mub_per_fu=2.0 vol_a3_per_fu=198.00 energy_ev_per_atom=-9.250 pbc="T T T"
Ac 0.000 0.000 0.000
Ac 0.000 0.000 4.043
Ac 0.000 0.000 17.700
Np 0.000 0.000 8.729
Np 0.000 0.000 13.014
N 2.134 0.000 2.115
N 0.000 0.000 6.570
N 2.134 0.000 8.756
N 0.000 0.000 10.872
N 0.000 2.134 2.115
N 0.000 0.000 15.173
N 0.000 2.134 8.756

=====

(7)
6
Lattice="4.288 0.000 0.000 -2.144 3.714 0.000 0.000 0.000 10.999" Properties=species:S:1:pos:R:3 comment="Nd3Te2S, relaxed, DFT PBE" magmom_total_mub_per_fu=0.0 vol_a3_per_fu=175.15 energy_ev_per_atom=-5.727 pbc="T T T"
Nd 0.000 0.000 0.000
Nd 0.000 2.476 4.026
Nd 2.144 1.238 6.973
Te 0.000 2.476 9.013
Te 2.144 1.238 1.986
S 0.000 0.000 5.500

=====

(8)
4
Lattice="0.000 2.645 2.645 2.645 0.000 2.645 2.645 2.645 0.000" Properties=species:S:1:pos:R:3 comment="MgFeB2, relaxed, DFT PBE" magmom_total_mub_per_fu=0.5 vol_a3_per_fu=37.03 energy_ev_per_atom=-4.724 pbc="T T T"
Mg 0.000 0.000 0.000
Fe 1.323 1.323 1.323
B 2.645 2.645 2.645
B 3.968 3.968 3.968